First-principles (PBE-GGA) data for a relaxed TmP2RuRh2 crystal, as listed in the Alexandria database.

Output
As for the space group: No. 164.

Cell: 4.1469 4.1469 6.2150 Å, 90.00 90.00 120.00°
Last column: nearest neighbours and their distance in Å.
Fractional coordinates of all 6 atoms:
Tm  0.0000  0.0000  0.0000  6 Rh 3.01, 6 P 3.05, 2 Ru 3.11
P  0.6667  0.3333  0.6951  4 Rh 2.40-2.50
P  0.3333  0.6667  0.3049  4 Rh 2.40-2.50
Ru  0.0000  0.0000  0.5000  6 P 2.68, 6 Rh 2.72
Rh  0.6667  0.3333  0.2935  4 P 2.40-2.50
Rh  0.3333  0.6667  0.7065  4 P 2.40-2.50

=====

First-principles (PBE-GGA) data for a relaxed TmP2RuRh crystal, as listed in the Alexandria database.

Output
As for the space group: No. 119.

Cell: 3.9925 3.9925 5.5917 Å, 110.92 110.92 90.00°
Last column: nearest neighbours and their distance in Å.
Fractional coordinates of all 5 atoms:
Tm  0.0000  0.0000  0.0000  8 P 3.04, 4 Ru 3.13, 4 Rh 3.13
P  0.6163  0.6163  0.2327  1 P 2.25, 2 Ru 2.38, 2 Rh 2.38
P  0.3837  0.3837  0.7673  1 P 2.25, 2 Ru 2.38, 2 Rh 2.38
Ru  0.7500  0.2500  0.5000  4 P 2.38
Rh  0.2500  0.7500  0.5000  4 P 2.38

=====

First-principles (PBE-GGA) data for a relaxed UP2Ru2Rh crystal, as listed in the Alexandria database.

Output
As for the space group: No. 26.

Cell: 3.8331 7.4892 6.6174 Å, 90.00 90.00 90.00°
Last column: nearest neighbours and their distance in Å.
Fractional coordinates of all 12 atoms:
U  0.0000  0.9802  0.3427  1 P 2.67, 2 Ru 2.79, 2 Rh 2.97
U  0.0000  0.4802  0.6573  1 P 2.67, 2 Ru 2.79, 2 Rh 2.97
P  0.0000  0.1813  0.8772  4 Ru 2.32-2.38, 2 Rh 2.49
P  0.5000  0.2905  0.3620  2 Rh 2.33-2.41, 3 Ru 2.35-2.41
P  0.0000  0.6813  0.1228  4 Ru 2.32-2.38, 2 Rh 2.49
P  0.5000  0.7905  0.6380  2 Rh 2.33-2.41, 3 Ru 2.35-2.41
Ru  0.5000  0.1085  0.0733  3 P 2.35-2.38
Ru  0.0000  0.3731  0.1630  4 P 2.32-2.41
Ru  0.5000  0.6085  0.9267  3 P 2.35-2.38
Ru  0.0000  0.8731  0.8370  4 P 2.32-2.41
Rh  0.5000  0.1120  0.6508  4 P 2.33-2.49
Rh  0.5000  0.6120  0.3492  4 P 2.33-2.49

=====

First-principles (PBE-GGA) data for a relaxed UP2RuRh2 crystal, as listed in the Alexandria database.

Output
As for the space group: No. 26.

Cell: 3.8361 7.4856 6.6542 Å, 90.00 90.00 90.00°
Last column: nearest neighbours and their distance in Å.
Fractional coordinates of all 12 atoms:
U  0.0000  0.9795  0.3585  1 P 2.65, 2 Ru 2.89, 2 Rh 2.90
U  0.0000  0.4795  0.6415  1 P 2.65, 2 Ru 2.89, 2 Rh 2.90
P  0.0000  0.1853  0.8625  4 Rh 2.32-2.42, 2 Ru 2.45
P  0.5000  0.2858  0.3675  2 Ru 2.33-2.40, 3 Rh 2.36-2.47
P  0.0000  0.6853  0.1375  4 Rh 2.32-2.42, 2 Ru 2.45
P  0.5000  0.7858  0.6325  2 Ru 2.33-2.40, 3 Rh 2.36-2.47
Ru  0.5000  0.1054  0.6519  4 P 2.33-2.45
Ru  0.5000  0.6054  0.3481  4 P 2.33-2.45
Rh  0.5000  0.1141  0.0696  3 P 2.36-2.42
Rh  0.0000  0.3755  0.1572  4 P 2.32-2.47
Rh  0.5000  0.6141  0.9304  3 P 2.36-2.42
Rh  0.0000  0.8755  0.8428  4 P 2.32-2.47

=====

First-principles (PBE-GGA) data for a relaxed YP2RuRh crystal, as listed in the Alexandria database.

Output
As for the space group: No. 119.

Cell: 4.0047 4.0047 5.6452 Å, 110.77 110.77 90.00°
Last column: nearest neighbours and their distance in Å.
Fractional coordinates of all 5 atoms:
Y  0.0000  0.0000  0.0000  8 P 3.06, 4 Ru 3.16, 4 Rh 3.16
P  0.6175  0.6175  0.2350  1 P 2.30, 2 Ru 2.38, 2 Rh 2.38
P  0.3825  0.3825  0.7650  1 P 2.30, 2 Rh 2.38, 2 Ru 2.38
Ru  0.2500  0.7500  0.5000  4 P 2.38
Rh  0.7500  0.2500  0.5000  4 P 2.38

=====

First-principles (PBE-GGA) data for a relaxed ZnPRuRh2 crystal, as listed in the Alexandria database.

Output
As for the space group: No. 123.

Cell: 4.3401 4.3473 4.3401 Å, 90.00 90.00 90.00°
Last column: nearest neighbours and their distance in Å.
Fractional coordinates of all 5 atoms:
Ru  0.0000  0.5000  0.0000  2 P 2.17
Zn  0.5000  0.5000  0.5000  4 Ru 3.07, 8 Rh 3.07
Rh  0.0000  0.0000  0.5000  2 P 2.17
Rh  0.5000  0.0000  0.0000  2 P 2.17
P  0.0000  0.0000  0.0000  4 Rh 2.17, 2 Ru 2.17

=====

no.,final energy (eV per cell),calculated formation energy (kJ per mole of atoms)
1,-43.69,-71.1
2,-37.11,-100.2
3,-104.16,-65.4
4,-100.60,-67.7
5,-39.17,-101.4
6,-30.40,5.0